Version i
An optimized crystal structure of Fe5Ag3. Source: the Alexandria database, functional GGA-PBE.

Output
- total moment (μB/f.u.) = 13.308

Lattice parameters (Å, degrees): 4.897 5.894 8.518 80.12 78.75 72.73
Space group P-1 (No. 2)
Symmetry-distinct sites (fractional):
Fe 0.063 0.170 0.170
Fe 0.077 0.708 0.173
Fe 0.310 0.945 0.935
Fe 0.392 0.311 0.285
Fe 0.396 0.844 0.292
Ag 0.204 0.058 0.571
Ag 0.207 0.555 0.576
Ag 0.312 0.432 0.932

Version ii
An optimized crystal structure of Fe5Ag3. Source: the Alexandria database, functional GGA-PBE.

Output
- total moment (μB/f.u.) = 13.994

Lattice parameters (Å, degrees): 7.7983 7.7983 4.6128 90.00 90.00 120.00
Space group P6_3/mcm (No. 193)
Symmetry-distinct sites (fractional):
Fe 0.0000 0.1821 0.2500
Fe 0.3333 0.6667 0.0000
Ag 0.0000 0.3968 0.7500

version i (18.7 kJ/mol of atoms below the next structure)

Version i
An optimized crystal structure of FeAg4. Source: the Alexandria database, functional GGA-PBE.

Output
- total moment (μB/f.u.) = 3.083

Lattice parameters (Å, degrees): 6.453 6.453 4.048 90.00 90.00 90.00
Space group I4/m (No. 87)
Symmetry-distinct sites (fractional):
Fe 0.000 0.000 0.000
Ag 0.103 0.704 0.500

Version ii
An optimized crystal structure of FeAg4. Source: the Alexandria database, functional GGA-PBE.

Output
- total moment (μB/f.u.) = 2.947

Lattice parameters (Å, degrees): 4.840 4.840 4.840 90.00 90.00 90.00
Space group Pm-3m (No. 221)
Symmetry-distinct sites (fractional):
Fe 0.000 0.000 0.000
Ag 0.000 0.000 0.500
Ag 0.500 0.500 0.500

version i (65.9 kJ/mol of atoms below the next structure)

Version i
An optimized crystal structure of Ga2FeAg. Source: the Alexandria database, functional GGA-PBE.

Output
- total moment (μB/f.u.) = 2.618

Lattice parameters (Å, degrees): 2.8394 2.8394 28.9475 90.00 90.00 120.00
Space group R-3m (No. 166, hexagonal axes)
Symmetry-distinct sites (fractional):
Ga 0.0000 0.0000 0.0848
Fe 0.0000 0.0000 0.0000
Ag 0.0000 0.0000 0.5000

Version ii
An optimized crystal structure of Ga2FeAg. Source: the Alexandria database, functional GGA-PBE.

Output
- total moment (μB/f.u.) = 1.871

Lattice parameters (Å, degrees): 6.230 6.230 6.230 90.00 90.00 90.00
Space group Fm-3m (No. 225)
Symmetry-distinct sites (fractional):
Ga 0.250 0.250 0.250
Fe 0.000 0.000 0.000
Ag 0.000 0.000 0.500

Version iii
An optimized crystal structure of Ga2FeAg. Source: the Alexandria database, functional GGA-PBE.

Output
- total moment (μB/f.u.) = 1.933

Lattice parameters (Å, degrees): 2.8798 2.8798 25.4467 90.00 90.00 120.00
Space group R3m (No. 160, hexagonal axes)
Symmetry-distinct sites (fractional):
Ga 0.0000 0.0000 0.0000
Ga 0.0000 0.0000 0.1823
Fe 0.0000 0.0000 0.5910
Ag 0.0000 0.0000 0.4252

version iii (11.8 kJ/mol of atoms below the next structure)

Version i
An optimized crystal structure of Ga2FeAg. Source: the Alexandria database, functional GGA-PBE.

Output
- total moment (μB/f.u.) = 2.491

Lattice parameters (Å, degrees): 3.989 3.989 17.466 90.00 90.00 90.00
Space group I-42d (No. 122)
Symmetry-distinct sites (fractional):
Ga 0.220 0.250 0.125
Fe 0.000 0.000 0.000
Ag 0.000 0.000 0.500

Version ii
An optimized crystal structure of Ga2FeAg. Source: the Alexandria database, functional GGA-PBE.

Output
- total moment (μB/f.u.) = 0.001

Lattice parameters (Å, degrees): 2.877 2.877 7.077 90.00 90.00 90.00
Space group P4/mmm (No. 123)
Symmetry-distinct sites (fractional):
Ga 0.000 0.000 0.202
Fe 0.500 0.500 0.000
Ag 0.500 0.500 0.500

version ii (28.1 kJ/mol of atoms below the next structure)